Record 1
VASP calculation (SCAN) on a PBEsol-optimized structure of LaZrSb2.

Unit cell a=5.1301 b=5.1301 c=3.9230 alpha=91.08 beta=91.08 gamma=99.83
Positions (direct):
La1 0.0000 0.0000 0.0000
Zr1 0.5000 0.5000 0.0000
Sb1 0.0000 0.5000 0.5000
Sb2 0.5000 0.0000 0.5000

Its formation energy without anion corrections is -0.699 eV per atom.

***

Record 2
VASP calculation (SCAN) on a PBEsol-optimized structure of La3ZrSb5.

Unit cell a=9.5019 b=9.5019 c=6.3068 alpha=90.00 beta=90.00 gamma=120.00
Positions (direct):
La1 0.0000 0.3829 0.2500
La2 0.0000 0.6171 0.7500
La3 0.3829 0.0000 0.2500
La4 0.3829 0.3829 0.7500
La5 0.6171 0.0000 0.7500
La6 0.6171 0.6171 0.2500
Zr1 0.0000 0.0000 0.0000
Zr2 0.0000 0.0000 0.5000
Sb1 0.0000 0.2616 0.7500
Sb2 0.0000 0.7384 0.2500
Sb3 0.2616 0.0000 0.7500
Sb4 0.2616 0.2616 0.2500
Sb5 0.3333 0.6667 0.0000
Sb6 0.3333 0.6667 0.5000
Sb7 0.6667 0.3333 0.0000
Sb8 0.6667 0.3333 0.5000
Sb9 0.7384 0.0000 0.2500
Sb10 0.7384 0.7384 0.7500

Its formation energy without anion corrections is -1.177 eV per atom.

***

Record 3
VASP calculation (SCAN) on a PBEsol-optimized structure of La2ZrSb.

Unit cell a=5.7793 b=5.7793 c=3.4092 alpha=90.00 beta=90.00 gamma=109.64
Positions (direct):
La1 0.0000 0.5000 0.0000
La2 0.5000 0.0000 0.0000
Zr1 0.0000 0.0000 0.5000
Sb1 0.5000 0.5000 0.5000

Its formation energy without anion corrections is -0.441 eV per atom.

***

Record 4
VASP calculation (SCAN) on a PBEsol-optimized structure of LaZrSb2.

Unit cell a=3.2224 b=3.2224 c=10.4725 alpha=90.00 beta=90.00 gamma=90.00
Positions (direct):
La1 0.0000 0.0000 0.0000
Zr1 0.5000 0.5000 0.7266
Sb1 0.0000 0.0000 0.5262
Sb2 0.5000 0.5000 0.2329

Its formation energy without anion corrections is -0.193 eV per atom.

***

Record 5
VASP calculation (SCAN) on a PBEsol-optimized structure of La2ZrSb.

Unit cell a=5.2874 b=5.2874 c=5.2874 alpha=60.00 beta=60.00 gamma=60.00
Positions (direct):
La1 0.0000 0.0000 0.0000
La2 0.2500 0.2500 0.2500
Zr1 0.5000 0.5000 0.5000
Sb1 0.7500 0.7500 0.7500

Its formation energy without anion corrections is -0.306 eV per atom.

***

Record 6
VASP calculation (SCAN) on a PBEsol-optimized structure of LaZrSb2.

Unit cell a=7.5366 b=7.5366 c=7.5366 alpha=32.96 beta=32.96 gamma=32.96
Positions (direct):
La1 0.0000 0.0000 0.0000
Zr1 0.5000 0.5000 0.5000
Sb1 0.2406 0.2406 0.2406
Sb2 0.7594 0.7594 0.7594

Its formation energy without anion corrections is -1.036 eV per atom.

***

Record 7
VASP calculation (SCAN) on a PBEsol-optimized structure of LaZr2Sb.

Unit cell a=5.4573 b=5.4573 c=4.9907 alpha=107.72 beta=107.72 gamma=42.84
Positions (direct):
La1 0.0000 0.0000 0.0000
Zr1 0.2375 0.2375 0.8114
Zr2 0.4803 0.4803 0.4840
Sb1 0.7528 0.7528 0.3471

Its formation energy without anion corrections is -0.345 eV per atom.

***

Record 8
VASP calculation (SCAN) on a PBEsol-optimized structure of LaZrSb2.

Unit cell a=4.8559 b=5.8836 c=5.8836 alpha=39.72 beta=90.00 gamma=90.00
Positions (direct):
La1 0.0000 0.0000 0.0000
Zr1 0.5000 0.7477 0.7477
Sb1 0.0000 0.2728 0.2728
Sb2 0.5000 0.4758 0.4758

Its formation energy without anion corrections is -0.769 eV per atom.

***

Record 9
VASP calculation (SCAN) on a PBEsol-optimized structure of LaSc.

Unit cell a=3.5222 b=3.5222 c=9.1772 alpha=90.00 beta=90.00 gamma=90.00
Positions (direct):
La1 0.2500 0.2500 0.1333
La2 0.7500 0.7500 0.8667
Sc1 0.2500 0.2500 0.6049
Sc2 0.7500 0.7500 0.3951

Its formation energy is 7.2 kJ/mol of atoms.

***

Record 10
VASP calculation (SCAN) on a PBEsol-optimized structure of LaSc3.

Unit cell a=5.8332 b=10.6715 c=6.6609 alpha=90.00 beta=90.00 gamma=90.00
Positions (direct):
La1 0.0770 0.2500 0.1355
La2 0.4230 0.7500 0.6355
La3 0.5770 0.2500 0.3645
La4 0.9230 0.7500 0.8645
Sc1 0.0871 0.2500 0.6328
Sc2 0.2456 0.5072 0.3799
Sc3 0.2456 0.9928 0.3799
Sc4 0.2544 0.0072 0.8799
Sc5 0.2544 0.4928 0.8799
Sc6 0.4129 0.7500 0.1328
Sc7 0.5871 0.2500 0.8672
Sc8 0.7456 0.5072 0.1201
Sc9 0.7456 0.9928 0.1201
Sc10 0.7544 0.0072 0.6201
Sc11 0.7544 0.4928 0.6201
Sc12 0.9129 0.7500 0.3672

Its formation energy is 9.9 kJ/mol of atoms.

***

Record 11
VASP calculation (SCAN) on a PBEsol-optimized structure of La2Sc3.

Unit cell a=13.6256 b=13.6256 c=13.6256 alpha=14.34 beta=14.34 gamma=14.34
Positions (direct):
La1 0.0992 0.0992 0.0992
La2 0.9008 0.9008 0.9008
Sc1 0.3026 0.3026 0.3026
Sc2 0.5000 0.5000 0.5000
Sc3 0.6974 0.6974 0.6974

Its formation energy is 8.5 kJ/mol of atoms.

***

Record 12
VASP calculation (SCAN) on a PBEsol-optimized structure of LaSc7.

Unit cell a=6.5159 b=6.5159 c=6.5159 alpha=60.00 beta=60.00 gamma=60.00
Positions (direct):
La1 0.0000 0.0000 0.0000
Sc1 0.0000 0.0000 0.5000
Sc2 0.0000 0.5000 0.0000
Sc3 0.0000 0.5000 0.5000
Sc4 0.5000 0.0000 0.0000
Sc5 0.5000 0.0000 0.5000
Sc6 0.5000 0.5000 0.0000
Sc7 0.5000 0.5000 0.5000

Its formation energy is 8.4 kJ/mol of atoms.

***

Record 13
VASP calculation (SCAN) on a PBEsol-optimized structure of LaSc.

Unit cell a=6.2858 b=6.2858 c=8.4472 alpha=106.65 beta=106.65 gamma=32.60
Positions (direct):
La1 0.0000 0.0000 0.0000
La2 0.3489 0.3489 0.2453
La3 0.6316 0.6316 0.3622
Sc1 0.0239 0.0239 0.6122
Sc2 0.3169 0.3169 0.6675
Sc3 0.7061 0.7061 0.8880

Its formation energy is 7.0 kJ/mol of atoms.

***

Record 14
VASP calculation (SCAN) on a PBEsol-optimized structure of LaSc.

Unit cell a=3.4379 b=3.4379 c=10.8275 alpha=90.00 beta=90.00 gamma=120.00
Positions (direct):
La1 0.0000 0.0000 0.0000
La2 0.0000 0.0000 0.5000
Sc1 0.3333 0.6667 0.2500
Sc2 0.6667 0.3333 0.7500

Its formation energy is 7.6 kJ/mol of atoms.

***

Record 15
VASP calculation (SCAN) on a PBEsol-optimized structure of LaSc3.

Unit cell a=4.7074 b=4.7074 c=4.7074 alpha=90.00 beta=90.00 gamma=90.00
Positions (direct):
La1 0.0000 0.0000 0.0000
Sc1 0.0000 0.5000 0.5000
Sc2 0.5000 0.0000 0.5000
Sc3 0.5000 0.5000 0.0000

Its formation energy is 9.8 kJ/mol of atoms.

***

Record 16
VASP calculation (SCAN) on a PBEsol-optimized structure of LaSc.

Unit cell a=6.6593 b=6.6593 c=5.3212 alpha=90.00 beta=90.00 gamma=150.52
Positions (direct):
La1 0.1704 0.8296 0.7500
La2 0.8296 0.1704 0.2500
Sc1 0.4392 0.5608 0.7500
Sc2 0.5608 0.4392 0.2500

Its formation energy is 7.1 kJ/mol of atoms.

***

Record 17
VASP calculation (SCAN) on a PBEsol-optimized structure of LaSc.

Unit cell a=5.4728 b=5.4728 c=5.4728 alpha=60.00 beta=60.00 gamma=60.00
Positions (direct):
La1 0.1250 0.1250 0.1250
La2 0.8750 0.8750 0.8750
Sc1 0.3750 0.3750 0.3750
Sc2 0.6250 0.6250 0.6250

Its formation energy is 17.4 kJ/mol of atoms.

***

Record 18
VASP calculation (SCAN) on a PBEsol-optimized structure of LaSc3.

Unit cell a=5.7370 b=5.7370 c=5.6876 alpha=99.68 beta=99.68 gamma=33.72
Positions (direct):
La1 0.0000 0.0000 0.0000
Sc1 0.2477 0.2477 0.7460
Sc2 0.5000 0.5000 0.5000
Sc3 0.7523 0.7523 0.2540

Its formation energy is 8.7 kJ/mol of atoms.

***

Record 19
VASP calculation (SCAN) on a PBEsol-optimized structure of LaSc4.

Unit cell a=5.7038 b=5.7038 c=5.7038 alpha=99.75 beta=99.75 gamma=131.40
Positions (direct):
La1 0.0000 0.0000 0.0000
Sc1 0.1975 0.4026 0.6001
Sc2 0.4026 0.8025 0.2051
Sc3 0.5974 0.1975 0.7949
Sc4 0.8025 0.5974 0.3999

Its formation energy is 9.6 kJ/mol of atoms.

***

Record 20
VASP calculation (SCAN) on a PBEsol-optimized structure of LaSc.

Unit cell a=3.8562 b=3.8562 c=3.8562 alpha=90.00 beta=90.00 gamma=90.00
Positions (direct):
La1 0.0000 0.0000 0.0000
Sc1 0.5000 0.5000 0.5000

Its formation energy is 6.5 kJ/mol of atoms.

***

no.,Fermi-level density of states (states/eV/cell),E_tot (eV/atom)
1,3.3,-37.780
2,5.9,-39.657
3,3.1,-38.983
4,3.8,-37.275
5,3.4,-38.849
6,2.0,-38.117
7,2.7,-35.786
8,2.3,-37.850
9,4.7,-28.596
10,21.6,-21.351
11,5.1,-25.696
12,12.6,-17.758
13,7.6,-28.598
14,4.3,-28.593
15,6.7,-21.353
16,5.7,-28.597
17,9.0,-28.490
18,5.4,-21.363
19,7.8,-19.911
20,2.3,-28.603